ThPd4Au2 | PBE | relaxed

POSCAR file:
```
ThPd4Au2
1.0
5.6805 0.1332 0.0000
-2.6668 5.0173 0.0000
0.0000 0.0000 9.5531
Au Pd Th
4 8 2
Direct
0.7469 0.2531 0.0000
0.2531 0.7469 0.5000
0.7469 0.2531 0.5000
0.2531 0.7469 0.0000
0.2316 0.2315 0.5000
0.0000 0.5000 0.7500
0.7684 0.7685 0.5000
0.5000 0.0000 0.2500
0.5000 0.0000 0.7500
0.2315 0.2316 0.0000
0.7685 0.7684 0.0000
0.0000 0.5000 0.2500
0.5000 0.5000 0.7500
0.5000 0.5000 0.2500
```

=====

ThPd2Au2 | PBE | relaxed

POSCAR file:
```
ThPd2Au2
1.0
4.7632 0.0000 0.0000
0.0000 5.9848 0.0000
-2.3816 -2.9924 3.5723
Pd Au Th
2 2 1
Direct
0.5000 0.2794 0.0000
0.5000 0.7206 0.0000
0.1899 0.6899 0.3798
0.8101 0.3101 0.6202
0.0000 0.0000 0.0000
```

=====

ThPd5Au6 | PBE | relaxed

POSCAR file:
```
ThPd5Au6
1.0
-1.1905 1.0443 -3.8531
1.6385 -7.6986 -2.5928
-6.0824 1.6259 4.5720
Pd Au Th
5 6 1
Direct
0.6595 0.1595 0.3190
0.3405 0.8405 0.6810
0.6719 0.6719 0.3438
0.3281 0.3281 0.6562
0.0000 0.5000 0.0000
0.8295 0.0920 0.6589
0.1706 0.4330 0.3411
0.5000 0.2734 0.0000
0.1705 0.9080 0.3411
0.5000 0.7266 0.0000
0.8294 0.5670 0.6589
0.0000 0.0000 0.0000
```

=====

ThPd6Au3 | PBE | relaxed

POSCAR file:
```
ThPd6Au3
1.0
-2.0156 5.4459 -5.2963
-5.0894 1.8358 0.8079
-0.7660 4.8984 2.3116
Pd Au Th
6 3 1
Direct
0.3098 0.5725 0.0823
0.3098 0.0823 0.5725
0.0615 0.6278 0.6278
0.9385 0.3722 0.3722
0.6902 0.9177 0.4275
0.6902 0.4275 0.9177
0.7119 0.9113 0.9113
0.2881 0.0887 0.0887
0.0000 0.0000 0.0000
0.5000 0.5000 0.5000
```

=====

ThPd4Au5 | PBE | relaxed

POSCAR file:
```
ThPd4Au5
1.0
-1.1321 2.3973 3.2510
-0.5522 -4.8525 3.3859
7.7483 0.8328 -0.6223
Au Pd Th
5 4 1
Direct
0.1069 0.7930 0.2137
0.2942 0.3949 0.5884
0.8931 0.2070 0.7863
0.5000 0.5000 0.0000
0.7058 0.6051 0.4116
0.3038 0.9041 0.6077
0.0997 0.3030 0.1995
0.9003 0.6970 0.8005
0.6962 0.0959 0.3923
0.5000 0.0000 0.0000
```

=====

ThPd4Au8 | PBE | relaxed

POSCAR file:
```
ThPd4Au8
1.0
-1.4049 5.4711 -0.0567
-6.3142 1.2627 -3.0973
-3.6896 2.0285 5.7731
Au Pd Th
8 4 1
Direct
0.0000 0.3373 0.6627
0.5000 0.7845 0.2155
0.0000 0.6627 0.3373
0.5000 0.2155 0.7845
0.6627 0.3373 0.3373
0.7155 0.7845 0.7845
0.3373 0.6627 0.6627
0.2845 0.2155 0.2155
0.5000 0.5000 0.0000
0.5000 0.0000 0.5000
0.0000 0.5000 0.0000
0.0000 0.0000 0.5000
0.0000 0.0000 0.0000
```

=====

no.,E (eV per atom),ΔE_f (meV per atom)
1,-5.3838,-420
2,-5.4822,-610
3,-4.7254,-305
4,-5.1291,-288
5,-4.8381,-380
6,-4.4709,-285